# 1
DFT (PBE-GGA) results for a relaxed MnCr2AsPd crystal.

Summary:
- formation energy from the elements (eV/f.u.) = 3.85
- energy (eV per atom) = -6.882

Cell: 4.5938 4.5938 4.7291 Å, 90.00 90.00 90.00°
With the nearest neighbours (Å) after each atom.
Space group P4/mmm (No. 123)
One atom of each set of equivalent atoms:
Mn  0.0000  0.0000  0.0000 x1  4 Pd 3.25, 8 Cr 3.30
Cr  0.0000  0.5000  0.5000 x2  2 As 2.30
As  0.5000  0.5000  0.5000 x1  4 Cr 2.30, 2 Pd 2.36
Pd  0.5000  0.5000  0.0000 x1  2 As 2.36



# 2
DFT (PBE-GGA) results for a relaxed MnCrAsRh crystal.

Summary:
- formation energy from the elements (eV/f.u.) = -0.43
- energy (eV per atom) = -7.807

Cell: 5.9884 5.9884 5.9884 Å, 90.00 90.00 90.00°
With the nearest neighbours (Å) after each atom.
Space group F-43m (No. 216)
One atom of each set of equivalent atoms:
Mn  0.0000  0.0000  0.0000 x4  4 Cr 2.59, 4 Rh 2.59
Cr  0.2500  0.2500  0.7500 x4  4 As 2.59, 4 Mn 2.59
As  0.0000  0.0000  0.5000 x4  4 Cr 2.59, 4 Rh 2.59
Rh  0.2500  0.2500  0.2500 x4  4 As 2.59, 4 Mn 2.59



# 3
DFT (PBE-GGA) results for a relaxed MnCr2SiAs crystal.

Summary:
- ΔE_f (raw) (kcal/mol of atoms) = 21.76
- energy (eV per atom) = -6.754

Cell: 4.5280 4.5280 4.7895 Å, 90.00 90.00 90.00°
With the nearest neighbours (Å) after each atom.
Space group P4/mmm (No. 123)
One atom of each set of equivalent atoms:
Mn  0.0000  0.0000  0.0000 x1  4 As 3.20, 8 Cr 3.30
Cr  0.0000  0.5000  0.5000 x2  2 Si 2.26
Si  0.5000  0.5000  0.5000 x1  4 Cr 2.26, 2 As 2.39
As  0.5000  0.5000  0.0000 x1  2 Si 2.39



# 4
DFT (PBE-GGA) results for a relaxed MnCrTcAs crystal.

Summary:
- formation energy from the elements (eV/f.u.) = 0.04
- energy (eV per atom) = -8.441

Cell: 5.9210 5.9210 5.9210 Å, 90.00 90.00 90.00°
With the nearest neighbours (Å) after each atom.
Space group F-43m (No. 216)
One atom of each set of equivalent atoms:
Mn  0.0000  0.0000  0.0000 x4  4 As 2.56, 4 Cr 2.56
Cr  0.2500  0.2500  0.7500 x4  4 Mn 2.56, 4 Tc 2.56
Tc  0.0000  0.0000  0.5000 x4  4 Cr 2.56, 4 As 2.56
As  0.2500  0.2500  0.2500 x4  4 Tc 2.56, 4 Mn 2.56